Below is NpUBi after structural relaxation, with properties calculated at the GGA-PBE level.

Structure (CIF):
```
data_NpUBi
_cell_length_a 5.066
_cell_length_b 5.066
_cell_length_c 5.066
_cell_angle_alpha 60.00
_cell_angle_beta 60.00
_cell_angle_gamma 60.00
_symmetry_space_group_name_H-M 'P 1'
_symmetry_Int_Tables_number 1
_symmetry_space_group_name_Hall 'P 1'
loop_
_atom_site_label
_atom_site_type_symbol
_atom_site_fract_x
_atom_site_fract_y
_atom_site_fract_z
_atom_site_occupancy
Np1 Np 0.750 0.750 0.750 1
Bi1 Bi 0.000 0.000 0.000 1
U1 U 0.500 0.500 0.500 1
```

Results
**Polymorph energy (0 for the lowest one)**: 0 meV per atom
**Electronic total energy**: -8.701 eV/atom


Below is NpBiW after structural relaxation, with properties calculated at the GGA-PBE level.

Structure (CIF):
```
data_NpBiW
_cell_length_a 4.715
_cell_length_b 4.715
_cell_length_c 4.715
_cell_angle_alpha 60.00
_cell_angle_beta 60.00
_cell_angle_gamma 60.00
_symmetry_space_group_name_H-M 'P 1'
_symmetry_Int_Tables_number 1
_symmetry_space_group_name_Hall 'P 1'
loop_
_atom_site_label
_atom_site_type_symbol
_atom_site_fract_x
_atom_site_fract_y
_atom_site_fract_z
_atom_site_occupancy
W1 W 0.000 0.000 0.000 1
Np1 Np 0.250 0.250 0.250 1
Bi1 Bi 0.750 0.750 0.750 1
```

Results
**Electronic total energy**: -9.063 eV/atom


Below is BiOs2O6 after structural relaxation, with properties calculated at the GGA-PBE level.

Structure (CIF):
```
data_BiOs2O6
_cell_length_a 8.387
_cell_length_b 8.387
_cell_length_c 5.497
_cell_angle_alpha 92.51
_cell_angle_beta 92.51
_cell_angle_gamma 33.81
_symmetry_space_group_name_H-M 'P 1'
_symmetry_Int_Tables_number 1
_symmetry_space_group_name_Hall 'P 1'
loop_
_atom_site_label
_atom_site_type_symbol
_atom_site_fract_x
_atom_site_fract_y
_atom_site_fract_z
_atom_site_occupancy
O1 O 0.903 0.834 0.397 1
O2 O 0.834 0.903 0.897 1
O3 O 0.333 0.530 0.086 1
O4 O 0.691 0.742 0.665 1
O5 O 0.258 0.309 0.835 1
O6 O 0.470 0.667 0.414 1
O7 O 0.742 0.691 0.165 1
O8 O 0.530 0.333 0.586 1
O9 O 0.667 0.470 0.914 1
O10 O 0.309 0.258 0.335 1
O11 O 0.097 0.166 0.603 1
O12 O 0.166 0.097 0.103 1
Os1 Os 0.942 0.415 0.883 1
Os2 Os 0.585 0.058 0.617 1
Os3 Os 0.415 0.942 0.383 1
Os4 Os 0.058 0.585 0.117 1
Bi1 Bi 0.744 0.256 0.250 1
Bi2 Bi 0.256 0.744 0.750 1
```

Results
**Electronic total energy**: -7.294 eV/atom


Below is Bi2Os2O5 after structural relaxation, with properties calculated at the GGA-PBE level.

Structure (CIF):
```
data_Bi2Os2O5
_cell_length_a 8.921
_cell_length_b 3.530
_cell_length_c 3.530
_cell_angle_alpha 90.00
_cell_angle_beta 90.00
_cell_angle_gamma 90.00
_symmetry_space_group_name_H-M 'P 1'
_symmetry_Int_Tables_number 1
_symmetry_space_group_name_Hall 'P 1'
loop_
_atom_site_label
_atom_site_type_symbol
_atom_site_fract_x
_atom_site_fract_y
_atom_site_fract_z
_atom_site_occupancy
O1 O 0.646 0.000 0.500 1
O2 O 0.354 0.000 0.500 1
O3 O 0.354 0.500 0.000 1
O4 O 0.500 0.500 0.500 1
O5 O 0.646 0.500 0.000 1
Os1 Os 0.000 0.000 0.000 1
Os2 Os 0.500 0.000 0.000 1
Bi1 Bi 0.812 0.500 0.500 1
Bi2 Bi 0.188 0.500 0.500 1
```

Results
**Polymorph energy (0 for the lowest one)**: 833 meV per atom
**Electronic total energy**: -5.770 eV/atom


Below is BiOsO3 after structural relaxation, with properties calculated at the GGA-PBE level.

Structure (CIF):
```
data_BiOsO3
_cell_length_a 5.315
_cell_length_b 5.315
_cell_length_c 5.315
_cell_angle_alpha 66.92
_cell_angle_beta 66.92
_cell_angle_gamma 66.92
_symmetry_space_group_name_H-M 'P 1'
_symmetry_Int_Tables_number 1
_symmetry_space_group_name_Hall 'P 1'
loop_
_atom_site_label
_atom_site_type_symbol
_atom_site_fract_x
_atom_site_fract_y
_atom_site_fract_z
_atom_site_occupancy
O1 O 0.250 0.650 0.850 1
O2 O 0.750 0.350 0.150 1
O3 O 0.650 0.850 0.250 1
O4 O 0.350 0.150 0.750 1
O5 O 0.150 0.750 0.350 1
O6 O 0.850 0.250 0.650 1
Os1 Os 0.000 0.000 0.000 1
Os2 Os 0.500 0.500 0.500 1
Bi1 Bi 0.250 0.250 0.250 1
Bi2 Bi 0.750 0.750 0.750 1
```

Results
**Electronic total energy**: -6.729 eV/atom


Below is Bi2Os2O5 after structural relaxation, with properties calculated at the GGA-PBE level.

Structure (CIF):
```
data_Bi2Os2O5
_cell_length_a 7.324
_cell_length_b 3.911
_cell_length_c 3.911
_cell_angle_alpha 90.00
_cell_angle_beta 90.00
_cell_angle_gamma 90.00
_symmetry_space_group_name_H-M 'P 1'
_symmetry_Int_Tables_number 1
_symmetry_space_group_name_Hall 'P 1'
loop_
_atom_site_label
_atom_site_type_symbol
_atom_site_fract_x
_atom_site_fract_y
_atom_site_fract_z
_atom_site_occupancy
Bi1 Bi 0.500 0.000 0.000 1
Bi2 Bi 0.000 0.000 0.000 1
O1 O 0.500 0.500 0.500 1
O2 O 0.735 0.000 0.500 1
O3 O 0.265 0.500 0.000 1
O4 O 0.265 0.000 0.500 1
O5 O 0.735 0.500 0.000 1
Os1 Os 0.190 0.500 0.500 1
Os2 Os 0.810 0.500 0.500 1
```

Results
**Polymorph energy (0 for the lowest one)**: 0 meV per atom
**Electronic total energy**: -6.603 eV/atom


Below is BiOsO3 after structural relaxation, with properties calculated at the GGA-PBE level.

Structure (CIF):
```
data_BiOsO3
_cell_length_a 5.773
_cell_length_b 5.773
_cell_length_c 5.778
_cell_angle_alpha 60.03
_cell_angle_beta 60.03
_cell_angle_gamma 60.00
_symmetry_space_group_name_H-M 'P 1'
_symmetry_Int_Tables_number 1
_symmetry_space_group_name_Hall 'P 1'
loop_
_atom_site_label
_atom_site_type_symbol
_atom_site_fract_x
_atom_site_fract_y
_atom_site_fract_z
_atom_site_occupancy
Os1 Os 0.172 0.172 0.485 1
Os2 Os 0.828 0.828 0.515 1
O1 O 0.185 0.933 0.296 1
O2 O 0.414 0.815 0.704 1
O3 O 0.586 0.185 0.296 1
O4 O 0.067 0.414 0.704 1
O5 O 0.933 0.586 0.296 1
O6 O 0.815 0.067 0.704 1
Bi1 Bi 0.619 0.619 0.144 1
Bi2 Bi 0.381 0.381 0.856 1
```

Results
**Electronic total energy**: -6.711 eV/atom


Below is BiOsO3 after structural relaxation, with properties calculated at the GGA-PBE level.

Structure (CIF):
```
data_BiOsO3
_cell_length_a 4.070
_cell_length_b 4.070
_cell_length_c 3.902
_cell_angle_alpha 90.00
_cell_angle_beta 90.00
_cell_angle_gamma 90.00
_symmetry_space_group_name_H-M 'P 1'
_symmetry_Int_Tables_number 1
_symmetry_space_group_name_Hall 'P 1'
loop_
_atom_site_label
_atom_site_type_symbol
_atom_site_fract_x
_atom_site_fract_y
_atom_site_fract_z
_atom_site_occupancy
O1 O 0.500 0.500 0.058 1
O2 O 0.500 0.000 0.649 1
O3 O 0.000 0.500 0.649 1
Os1 Os 0.500 0.500 0.560 1
Bi1 Bi 0.000 0.000 0.985 1
```

Results
**Electronic total energy**: -6.622 eV/atom